# ScFeSb, optimized geometry, DFT PBE
# **Formation energy (no corrections)**: -428.4 meV/atom
# **SG**: P-3m1 (164)
# **Total DFT energy (no corrections)**: -0.4949 Ry per atom
# **Density**: 6.88 g/cm3
data_ScFeSb
_chemical_formula_sum 'Sc2 Fe2 Sb2'
_cell_length_a 4.338
_cell_length_b 4.338
_cell_length_c 6.596
_cell_angle_alpha 90.00
_cell_angle_beta 90.00
_cell_angle_gamma 120.00
_symmetry_space_group_name_H-M 'P 1'
_symmetry_Int_Tables_number 1
_symmetry_space_group_name_Hall 'P 1'
loop_
_atom_site_label
_atom_site_fract_x
_atom_site_fract_y
_atom_site_fract_z
Sc1 0.000 0.000 0.000
Sc2 0.000 0.000 0.500
Fe1 0.333 0.667 0.357
Fe2 0.667 0.333 0.643
Sb1 0.333 0.667 0.754
Sb2 0.667 0.333 0.246